1.
DFT (SCAN) results for a PBEsol-optimized structure of CdGeAsSe2.

## Properties
Energy in eV per atom: -21.475

abc: 4.9610 4.9610 4.8528
angles: 90.00 90.00 90.00
Last column: nearest neighbours and their distance in Å.
Space group P4/mmm (No. 123)
Asymmetric unit:
Cd 0.0000 0.0000 0.0000 x1  8 Se 3.47, 4 As 3.51
Ge 0.5000 0.5000 0.5000 x1  2 As 2.43, 4 Se 2.48
As 0.5000 0.5000 0.0000 x1  2 Ge 2.43
Se 0.0000 0.5000 0.5000 x2  2 Ge 2.48



2.
DFT (SCAN) results for a PBEsol-optimized structure of HfScW3.

## Properties
Energy relative to the elements in kcal/mol of atoms: 48.37

abc: 4.7497 4.7497 4.7497
angles: 90.00 90.00 90.00
Last column: nearest neighbours and their distance in Å.
Space group Pm-3m (No. 221)
Asymmetric unit:
Hf 0.0000 0.0000 0.0000 x1  6 W 2.37
Sc 0.5000 0.5000 0.5000 x1  12 W 3.36
W 0.0000 0.0000 0.5000 x3  2 Hf 2.37



3.
DFT (SCAN) results for a PBEsol-optimized structure of MnBi3I.

## Properties
Energy in eV per atom: -56.855

abc: 5.8426 5.8426 5.8426
angles: 90.00 90.00 90.00
Last column: nearest neighbours and their distance in Å.
Space group Pm-3m (No. 221)
Asymmetric unit:
Mn 0.0000 0.0000 0.0000 x1  12 Bi 4.13
Bi 0.0000 0.5000 0.5000 x3  2 I 2.92
I 0.5000 0.5000 0.5000 x1  6 Bi 2.92



4.
DFT (SCAN) results for a PBEsol-optimized structure of GaNi2Cl.

## Properties
Energy in eV per atom: -13.815

abc: 5.9107 5.9107 5.9107
angles: 90.00 90.00 90.00
Last column: nearest neighbours and their distance in Å.
Space group Fm-3m (No. 225)
Asymmetric unit:
Ga 0.0000 0.0000 0.0000 x4  8 Ni 2.56
Ni 0.2500 0.2500 0.2500 x8  4 Cl 2.56, 4 Ga 2.56
Cl 0.0000 0.0000 0.5000 x4  8 Ni 2.56



5.
DFT (SCAN) results for a PBEsol-optimized structure of ZrTcRu2.

## Properties
E above lowest polymorph in meV/atom: 51
Energy relative to the elements in kcal/mol of atoms: -1.29

abc: 3.9988 3.9988 7.5796
angles: 90.00 90.00 90.00
Last column: nearest neighbours and their distance in Å.
Space group I4/mmm (No. 139)
Asymmetric unit:
Zr 0.0000 0.0000 0.0000 x2  8 Ru 2.75, 4 Tc 2.83
Tc 0.0000 0.0000 0.5000 x2  8 Ru 2.75, 4 Zr 2.83
Ru 0.0000 0.5000 0.2500 x4  4 Zr 2.75, 4 Tc 2.75, 4 Ru 2.83



6.
DFT (SCAN) results for a PBEsol-optimized structure of KCrSb2.

## Properties
E above lowest polymorph in meV/atom: 0

abc: 3.6376 3.6376 26.8045
angles: 90.00 90.00 120.00
Last column: nearest neighbours and their distance in Å.
Space group R-3m (No. 166, hexagonal axes)
Asymmetric unit:
K 0.0000 0.0000 0.0000 x3  6 Sb 3.49, 6 K 3.64
Cr 0.0000 0.0000 0.5000 x3  6 Sb 2.69
Sb 0.0000 0.0000 0.2292 x6  3 Cr 2.69



What did the sixth record say?
DFT (SCAN) results for a PBEsol-optimized structure of KCrSb2.

## Properties
E above lowest polymorph in meV/atom: 0

abc: 3.6376 3.6376 26.8045
angles: 90.00 90.00 120.00
Last column: nearest neighbours and their distance in Å.
Space group R-3m (No. 166, hexagonal axes)
Asymmetric unit:
K 0.0000 0.0000 0.0000 x3  6 Sb 3.49, 6 K 3.64
Cr 0.0000 0.0000 0.5000 x3  6 Sb 2.69
Sb 0.0000 0.0000 0.2292 x6  3 Cr 2.69